# UTl3Ag2Se6

Crystalline UTl3Ag2Se6 at its relaxed geometry (GGA-PBE, Alexandria).

## Properties
Calculated total energy: -0.1556 Ha/atom
Energy relative to the elements, uncorrected: -47 kJ/mol of atoms

Unit cell a=6.723 b=12.434 c=8.114 alpha=90.00 beta=105.64 gamma=90.00
Space group C2/m (No. 12)
Asymmetric unit:
U (0.000, 0.000, 0.000)
Tl (0.000, 0.175, 0.500)
Tl (0.000, 0.500, 0.500)
Ag (0.000, 0.351, 0.000)
Se (0.232, 0.000, 0.775)
Se (0.236, 0.157, 0.196)